# 1
Material: YAl4
Method: DFT, PBE
State: relaxed

abc: 5.576 5.576 5.576
angles: 90.00 90.00 90.00
Space group Pm-3m (No. 221)
One atom of each set of equivalent atoms:
Y  0.000  0.000  0.000 [1 per cell]
Al  0.000  0.000  0.500 [3 per cell]
Al  0.500  0.500  0.500 [1 per cell]

Output
Energy of formation (eV per atom): 1.22
Total energy (eV per atom): -3.072



# 2
Material: Pm12Tl6Os
Method: DFT, PBE
State: relaxed

abc: 12.4940 12.4940 13.7172
angles: 90.00 90.00 120.00
Space group R-3 (No. 148, hexagonal axes)
One atom of each set of equivalent atoms:
Pm  0.0354  0.8452  0.3915 [18 per cell]
Pm  0.0392  0.1902  0.8748 [18 per cell]
Tl  0.0088  0.6086  0.2629 [18 per cell]
Os  0.0000  0.0000  0.0000 [3 per cell]

Output
Energy of formation (eV per atom): -0.15
Total energy (eV per atom): -4.492



# 3
Material: AlCdSeN2
Method: DFT, PBE
State: relaxed

abc: 4.190 4.190 5.946
angles: 90.00 90.00 90.00
Space group P4/mmm (No. 123)
One atom of each set of equivalent atoms:
Al  0.000  0.000  0.000 [1 per cell]
Cd  0.500  0.500  0.500 [1 per cell]
Se  0.500  0.500  0.000 [1 per cell]
N  0.000  0.500  0.500 [2 per cell]

Output
Total energy (eV per atom): -3.371
Relative energy among the computed polymorphs (meV per atom): 1021
Formation energy (no corrections) (meV/atom): 1587



# 4
Material: YTcPb4
Method: DFT, PBE
State: relaxed

abc: 8.923 8.923 8.923
angles: 90.00 90.00 90.00
Space group F-43m (No. 216)
One atom of each set of equivalent atoms:
Y  0.000  0.000  0.000 [4 per cell]
Tc  0.250  0.250  0.250 [4 per cell]
Pb  0.125  0.125  0.625 [16 per cell]

Output
Energy of formation (eV per atom): 0.65
Total energy (eV per atom): -4.631



Which formula does entry 2 have?
Pm12Tl6Os